No. 1
DFT (PBE) results for an optimized crystal structure of Ta2NiHW.

M_tot = 0.000 μB per cell
space-group type = P4/mmm, No. 123

a b c (Å): 4.2344 4.2344 3.7111
angles (deg): 90.00 90.00 90.00
Atoms (fractional coordinates):
1 Ni 0.5000 0.5000 0.5000
2 H 0.0000 0.0000 0.0000
3 W 0.0000 0.0000 0.5000
4 Ta 0.0000 0.5000 0.0000
5 Ta 0.5000 0.0000 0.0000

***

No. 2
DFT (PBE) results for an optimized crystal structure of Ta2NiHW.

M_tot = 0.000 μB per cell
space-group type = P4/mmm, No. 123

a b c (Å): 4.3882 4.3882 3.4046
angles (deg): 90.00 90.00 90.00
Atoms (fractional coordinates):
1 Ni 0.0000 0.0000 0.5000
2 H 0.0000 0.0000 0.0000
3 W 0.5000 0.5000 0.5000
4 Ta 0.0000 0.5000 0.0000
5 Ta 0.5000 0.0000 0.0000

***

No. 3
DFT (PBE) results for an optimized crystal structure of Ta2ZnNiH.

M_tot = 0.000 μB per cell
space-group type = P4/mmm, No. 123

a b c (Å): 4.0831 3.7868 4.0831
angles (deg): 90.00 90.00 90.00
Atoms (fractional coordinates):
1 Ni 0.0000 0.5000 0.0000
2 Zn 0.5000 0.5000 0.5000
3 H 0.0000 0.0000 0.0000
4 Ta 0.0000 0.0000 0.5000
5 Ta 0.5000 0.0000 0.0000

***

No. 4
DFT (PBE) results for an optimized crystal structure of Tb2NiH.

M_tot = 0.000 μB per cell
space-group type = R-3m, No. 166

a b c (Å): 3.8326 3.8326 6.3828
angles (deg): 72.53 72.53 60.00
Atoms (fractional coordinates):
1 Ni 0.0000 0.0000 0.0000
2 Tb 0.7551 0.7551 0.7346
3 Tb 0.2449 0.2449 0.2654
4 H 0.5000 0.5000 0.5000

***

No. 5
DFT (PBE) results for an optimized crystal structure of Tb2Ni16H.

M_tot = 6.406 μB per cell
space-group type = R3m, No. 160

a b c (Å): 6.2322 6.2322 6.2322
angles (deg): 83.58 83.58 83.58
Atoms (fractional coordinates):
1 Tb 0.6664 0.6664 0.6664
2 Tb 0.3395 0.3395 0.3395
3 Ni 0.7019 0.9972 0.2937
4 Ni 0.9972 0.2937 0.7019
5 Ni 0.2937 0.7019 0.9972
6 Ni 0.9972 0.7019 0.2937
7 Ni 0.7019 0.2937 0.9972
8 Ni 0.2937 0.9972 0.7019
9 Ni 0.3439 0.8452 0.3439
10 Ni 0.8452 0.3439 0.3439
11 Ni 0.3439 0.3439 0.8452
12 Ni 0.6519 0.1538 0.6519
13 Ni 0.1538 0.6519 0.6519
14 Ni 0.6519 0.6519 0.1538
15 Ni 0.0009 0.4938 0.0009
16 Ni 0.4938 0.0009 0.0009
17 Ni 0.0009 0.0009 0.4938
18 Ni 0.0742 0.0742 0.0742
19 H 0.9481 0.9481 0.9481

***

No. 6
DFT (PBE) results for an optimized crystal structure of TbNi2H8.

M_tot = 0.000 μB per cell
space-group type = C2/m, No. 12

a b c (Å): 3.4877 5.2563 5.2563
angles (deg): 83.76 109.43 109.43
Atoms (fractional coordinates):
1 Tb 0.5000 0.0000 0.0000
2 Ni 0.0000 0.3228 0.6772
3 Ni 0.0000 0.6772 0.3228
4 H 0.8475 0.0113 0.6823
5 H 0.8475 0.6823 0.0113
6 H 0.1488 0.6524 0.6524
7 H 0.5000 0.6763 0.3237
8 H 0.5000 0.3237 0.6763
9 H 0.8512 0.3476 0.3476
10 H 0.1525 0.3177 0.9887
11 H 0.1525 0.9887 0.3177

***

No. 7
DFT (PBE) results for an optimized crystal structure of TbNi3H6.

M_tot = 0.000 μB per cell
space-group type = R3, No. 146

a b c (Å): 4.5937 4.5938 4.9762
angles (deg): 90.00 117.49 120.00
Atoms (fractional coordinates):
1 Tb 0.7906 0.8953 0.6859
2 Ni 0.6756 0.3378 0.0135
3 Ni 0.3402 0.6701 0.0103
4 Ni 0.2506 0.1253 0.3758
5 H 0.3454 0.4267 0.7514
6 H 0.1562 0.7419 0.2201
7 H 0.8057 0.0638 0.2201
8 H 0.3248 0.9187 0.7514
9 H 0.8327 0.4060 0.7514
10 H 0.4782 0.4144 0.2201

***

No. 8
DFT (PBE) results for an optimized crystal structure of Tb2NiH8.

M_tot = 0.000 μB per cell
space-group type = Immm, No. 71

a b c (Å): 3.7152 4.2203 6.6951
angles (deg): 108.35 106.11 90.00
Atoms (fractional coordinates):
1 Tb 0.8538 0.3541 0.7076
2 Tb 0.1462 0.6459 0.2924
3 Ni 0.5000 0.0000 0.0000
4 H 0.3982 0.6633 0.7964
5 H 0.6021 0.8688 0.2043
6 H 0.7657 0.7657 0.5315
7 H 0.0000 0.2350 0.0001
8 H 0.2343 0.2343 0.4685
9 H 0.3979 0.1312 0.7957
10 H 0.6018 0.3367 0.2036
11 H 0.0000 0.7650 0.9999

***

no.,volume (A^3/atom),VASP energy (eV/cell),Fermi-level density of states (states/eV per cell)
1,13.3,-45.5,3.55
2,13.1,-46.3,3.35
3,12.6,-34.5,2.74
4,19.0,-19.6,2.85
5,12.5,-107.3,23.64
6,7.8,-44.6,2.15
7,7.7,-44.9,2.03
8,8.7,-45.3,2.25